[1]
The following is a DFT calculation (meta-GGA SCAN) of a crystal of ZnSb2TeMo relaxed with PBEsol.

Cell and atoms, written as POSCAR:
```
ZnSb2TeMo
1.0
5.176 0.000 0.000
0.000 5.176 0.000
0.000 0.000 5.258
Zn Sb Te Mo
1 2 1 1
Cartesian
0.000 0.000 0.000
0.000 2.588 2.629
2.588 0.000 2.629
2.588 2.588 0.000
2.588 2.588 2.629
```

Properties
ΔE_f (raw) ... 305 kJ/mol of formula units



[2]
The following is a DFT calculation (meta-GGA SCAN) of a crystal of NiAgCl2 relaxed with PBEsol.

Cell and atoms, written as POSCAR:
```
NiAgCl2
1.0
3.365 0.000 0.000
0.000 3.365 0.000
0.000 0.000 6.393
Ni Ag Cl
1 1 2
Cartesian
0.000 0.000 0.000
1.683 1.683 3.521
0.000 0.000 2.296
1.683 1.683 6.039
```

Properties
Energy above the lowest structure with this stoichiometry ... 0.000 eV/atom
ΔE_f (raw) ... -119 kJ/mol of formula units



[3]
The following is a DFT calculation (meta-GGA SCAN) of a crystal of Na4TiAs2O9 relaxed with PBEsol.

Cell and atoms, written as POSCAR:
```
Na4TiAs2O9
1.0
7.943 -3.606 0.000
7.943 3.606 0.000
-0.018 0.000 7.760
Na Ti As O
8 2 4 18
Cartesian
3.962 1.803 3.880
2.023 0.000 5.623
7.943 1.831 0.000
6.208 0.000 5.929
3.962 -1.803 3.880
9.660 0.000 1.831
7.943 -1.831 0.000
13.845 0.000 2.137
3.971 1.803 0.000
3.971 -1.803 0.000
1.767 0.000 1.859
5.869 0.000 2.156
9.998 0.000 5.604
14.100 0.000 5.901
0.092 0.000 1.665
5.657 2.176 6.767
5.029 1.443 1.644
2.466 0.000 3.394
4.089 0.000 7.219
10.210 2.176 0.993
5.668 0.000 3.826
7.393 0.000 1.427
10.838 1.443 6.116
5.029 -1.443 1.644
8.474 0.000 6.333
10.200 0.000 3.934
5.657 -2.176 6.767
11.779 0.000 0.541
13.402 0.000 4.366
10.838 -1.443 6.116
10.210 -2.176 0.993
15.775 0.000 6.095
```

Properties
ΔE_f (raw) ... -3257 kJ/mol of formula units



[4]
The following is a DFT calculation (meta-GGA SCAN) of a crystal of Rb2MgI relaxed with PBEsol.

Cell and atoms, written as POSCAR:
```
Rb2MgI
1.0
10.025 0.000 0.000
0.000 10.025 0.000
0.000 0.000 8.701
Rb Mg I
8 4 4
Cartesian
2.191 2.506 1.088
2.506 7.204 3.263
2.506 7.834 7.614
2.821 2.506 5.438
7.204 7.519 5.438
7.519 2.191 7.614
7.519 2.821 3.263
7.834 7.519 1.088
0.000 0.000 4.351
0.000 5.013 6.526
5.013 0.000 2.175
5.013 5.013 0.000
0.000 0.000 0.000
0.000 5.013 2.175
5.013 0.000 6.526
5.013 5.013 4.351
```

Properties
ΔE_f (raw) ... -176 kJ/mol of formula units



[5]
The following is a DFT calculation (meta-GGA SCAN) of a crystal of NaMnP relaxed with PBEsol.

Cell and atoms, written as POSCAR:
```
NaMnP
1.0
3.708 0.000 0.000
0.000 3.708 0.000
0.000 0.000 6.997
Na Mn P
2 2 2
Cartesian
0.927 0.927 1.010
2.781 2.781 5.987
0.927 2.781 3.499
2.781 0.927 3.499
0.927 0.927 4.806
2.781 2.781 2.191
```

Properties
ΔH_f (0 K) ... -0.5229 eV per atom



[6]
The following is a DFT calculation (meta-GGA SCAN) of a crystal of NaSmF4 relaxed with PBEsol.

Cell and atoms, written as POSCAR:
```
NaSmF4
1.0
6.027 0.000 0.000
2.997 6.329 0.000
3.000 2.204 5.938
Na Sm F
3 3 12
Cartesian
0.000 0.000 0.000
2.907 4.108 2.895
5.971 3.193 1.330
5.971 4.968 4.876
5.979 7.011 1.873
8.988 7.422 4.315
4.398 5.857 3.264
1.472 1.667 0.364
6.646 7.159 4.160
3.641 2.838 1.186
5.006 3.161 3.766
5.045 5.377 0.524
6.776 4.941 2.661
6.904 2.893 5.589
8.288 5.242 4.864
5.290 0.806 2.086
10.636 6.613 5.781
7.639 2.156 3.042
```

Properties
ΔE_f (raw) ... -2296 kJ/mol of formula units



[7]
The following is a DFT calculation (meta-GGA SCAN) of a crystal of Sr2CrFe relaxed with PBEsol.

Cell and atoms, written as POSCAR:
```
Sr2CrFe
1.0
3.357 0.000 0.000
0.000 3.357 0.000
0.000 0.000 9.021
Sr Cr Fe
2 1 1
Cartesian
0.000 0.000 0.000
1.679 1.679 3.575
0.000 0.000 6.035
1.679 1.679 6.601
```

Properties
ΔH_f (0 K) ... 0.4928 eV per atom



[8]
The following is a DFT calculation (meta-GGA SCAN) of a crystal of Na2Cu4P2ClO9 relaxed with PBEsol.

Cell and atoms, written as POSCAR:
```
Na2Cu4P2ClO9
1.0
6.712 -5.137 0.000
6.712 5.137 0.000
0.000 0.000 6.438
Na Cu P Cl O
4 8 4 2 18
Cartesian
2.731 0.000 0.000
2.731 0.000 3.219
10.693 0.000 0.000
10.693 0.000 3.219
6.712 3.902 4.828
5.208 2.075 1.609
8.216 2.075 1.609
6.712 0.000 0.000
6.712 0.000 3.219
5.208 -2.075 4.828
8.216 -2.075 4.828
6.712 -3.902 1.609
4.505 2.086 4.828
8.919 2.086 4.828
4.505 -2.086 1.609
8.919 -2.086 1.609
6.712 4.066 1.609
6.712 -4.066 4.828
4.811 3.618 4.828
2.971 1.835 4.828
5.079 1.403 3.561
5.079 1.403 6.096
8.613 3.618 4.828
2.971 -1.835 1.609
6.712 0.911 1.609
8.345 1.403 3.561
8.345 1.403 6.096
5.079 -1.403 0.342
5.079 -1.403 2.877
6.712 -0.911 4.828
10.453 1.835 4.828
4.811 -3.618 1.609
8.345 -1.403 0.342
8.345 -1.403 2.877
10.453 -1.835 1.609
8.613 -3.618 1.609
```

Properties
ΔE_f (raw) ... -2993 kJ/mol of formula units



Table of calculated volume (Å³ per cell), in record order: 140.9 72.4 444.5 874.5 96.2 226.5 101.7 443.9
Table of theoretical density (kg/m³), in record order: 6277 5446 3240 2447 3759 5484 4623 4052
Table of N(E_F) (states/eV/f.u.), in record order: 3.88 1.42 0.00 1.19 2.00 0.00 4.28 2.79